[1]
! PBE-GGA Tl2MoOs, optimized geometry; values from VASP
&SYSTEM
  ibrav = 0, nat = 4, ntyp = 3
/
ATOMIC_SPECIES
Mo 95.94 Mo.upf
Os 190.23 Os.upf
Tl 204.38 Tl.upf
ATOMIC_POSITIONS crystal
Mo 0.4904 0.4904 0.4904
Os 0.7592 0.7592 0.7592
Tl 0.0078 0.0078 0.0078
Tl 0.2425 0.2425 0.2425
CELL_PARAMETERS angstrom
10.0562 -0.0563 -0.0330
9.6085 2.9677 -0.0330
9.6085 1.4225 2.6047
! - Excess energy over the best structure of this formula in the dataset: 181 meV per atom
! - Fermi-level density of states: 2.47 states/eV/cell
! - ΔE_f: 2.39 eV per formula unit
! - Final energy: -6.100 eV/atom
! - Total magnetization: 0.0 μB per formula unit

***

[2]
! PBE-GGA ZnOsCl2, optimized geometry; values from VASP
&SYSTEM
  ibrav = 0, nat = 4, ntyp = 3
/
ATOMIC_SPECIES
Zn 65.41 Zn.upf
Os 190.23 Os.upf
Cl 35.45 Cl.upf
ATOMIC_POSITIONS crystal
Zn 0.2500 0.7500 0.5000
Os 0.7500 0.2500 0.5000
Cl 0.8885 0.8885 0.0000
Cl 0.6115 0.6115 0.0000
CELL_PARAMETERS angstrom
7.4491 0.0733 -0.0020
5.4940 5.0309 0.0020
-6.1028 -3.4873 2.4677
! - Excess energy over the best structure of this formula in the dataset: 105 meV per atom
! - Fermi-level density of states: 1.06 states/eV/cell
! - Formation energy without anion corrections: 0.4 eV per formula unit
! - Final energy: -3.954 eV/atom
! - Total magnetization: 0.0 μB per formula unit

***

[3]
! PBE-GGA LaMoOs2N, optimized geometry; values from VASP
&SYSTEM
  ibrav = 0, nat = 5, ntyp = 4
/
ATOMIC_SPECIES
Mo 95.94 Mo.upf
N 14.01 N.upf
Os 190.23 Os.upf
La 138.91 La.upf
ATOMIC_POSITIONS crystal
Mo 0.5000 0.5000 0.5000
N 0.0000 0.0000 0.0000
Os 0.0000 0.0000 0.5000
Os 0.5000 0.0000 0.0000
La 0.0000 0.5000 0.0000
CELL_PARAMETERS angstrom
4.0625 0.0000 0.0000
0.0000 4.8774 0.0000
0.0000 0.0000 4.0625
! - Fermi-level density of states: 6.29 states/eV/cell
! - Formation energy without anion corrections: 2.7 eV per formula unit
! - Final energy: -8.777 eV/atom
! - Total magnetization: 0.0 μB per formula unit

***

[4]
! PBE-GGA Sr6TlAu, optimized geometry; values from VASP
&SYSTEM
  ibrav = 0, nat = 8, ntyp = 3
/
ATOMIC_SPECIES
Sr 87.62 Sr.upf
Tl 204.38 Tl.upf
Au 196.97 Au.upf
ATOMIC_POSITIONS crystal
Sr 0.0640 0.4153 0.7557
Sr 0.7648 0.0636 0.7557
Sr 0.5849 0.2351 0.2441
Sr 0.2352 0.9364 0.2443
Sr 0.9360 0.5847 0.2443
Sr 0.4151 0.7649 0.7559
Tl 0.5000 0.5000 0.5000
Au 0.0000 0.0000 0.0000
CELL_PARAMETERS angstrom
7.7942 0.0080 0.0053
3.8868 6.7599 0.0132
3.8807 2.2465 7.3577
! - Excess energy over the best structure of this formula in the dataset: 22 meV per atom
! - Fermi-level density of states: 8.06 states/eV/cell
! - ΔE_f: -2.09 eV per formula unit
! - Final energy: -2.228 eV/atom
! - Total magnetization: 0.0 μB per formula unit

***

[5]
! PBE-GGA Na2ErThTe4, optimized geometry; values from VASP
&SYSTEM
  ibrav = 0, nat = 8, ntyp = 4
/
ATOMIC_SPECIES
Na 22.99 Na.upf
Er 167.26 Er.upf
Th 232.04 Th.upf
Te 127.60 Te.upf
ATOMIC_POSITIONS crystal
Na 0.5000 0.0000 0.5000
Na 0.0000 0.5000 0.5000
Er 0.5000 0.5000 0.0000
Th 0.0000 0.0000 0.0000
Te 0.5000 0.2550 0.2416
Te 0.5000 0.7450 0.7584
Te 0.0000 0.2618 0.7657
Te 0.0000 0.7382 0.2343
CELL_PARAMETERS angstrom
-1.3833 -3.0187 2.8526
5.2372 2.3695 5.0472
-6.7669 4.2617 1.2282
! - Fermi-level density of states: 3.84 states/eV/cell
! - Formation energy without anion corrections: -9.5 eV per formula unit
! - Final energy: -4.587 eV/atom
! - Total magnetization: 0.0 μB per formula unit

***

[6]
! PBE-GGA Ca2Ga2NiRh5, optimized geometry; values from VASP
&SYSTEM
  ibrav = 0, nat = 20, ntyp = 4
/
ATOMIC_SPECIES
Ca 40.08 Ca.upf
Ga 69.72 Ga.upf
Ni 58.69 Ni.upf
Rh 102.91 Rh.upf
ATOMIC_POSITIONS crystal
Ca 0.0000 0.6719 0.1719
Ca 0.0000 0.3281 0.8281
Ca 0.0000 0.1719 0.3281
Ca 0.0000 0.8281 0.6719
Ga 0.0000 0.1313 0.6313
Ga 0.0000 0.8687 0.3687
Ga 0.0000 0.6313 0.8687
Ga 0.0000 0.3687 0.1313
Ni 0.0000 0.0000 0.0000
Ni 0.0000 0.5000 0.5000
Rh 0.5000 0.1928 0.0610
Rh 0.5000 0.8072 0.9390
Rh 0.5000 0.0610 0.8072
Rh 0.5000 0.6928 0.4390
Rh 0.5000 0.9390 0.1928
Rh 0.5000 0.3072 0.5610
Rh 0.5000 0.5610 0.6928
Rh 0.5000 0.4390 0.3072
Rh 0.5000 0.5000 0.0000
Rh 0.5000 0.0000 0.5000
CELL_PARAMETERS angstrom
3.2408 0.0000 0.0000
0.0000 10.1300 0.0000
0.0000 0.0000 10.1300
! - Fermi-level density of states: 15.68 states/eV/cell
! - ΔE_f: -3.84 eV per formula unit
! - Final energy: -5.643 eV/atom
! - Total magnetization: 1.7 μB per formula unit

***

Repeat the fourth record exactly.
! PBE-GGA Sr6TlAu, optimized geometry; values from VASP
&SYSTEM
  ibrav = 0, nat = 8, ntyp = 3
/
ATOMIC_SPECIES
Sr 87.62 Sr.upf
Tl 204.38 Tl.upf
Au 196.97 Au.upf
ATOMIC_POSITIONS crystal
Sr 0.0640 0.4153 0.7557
Sr 0.7648 0.0636 0.7557
Sr 0.5849 0.2351 0.2441
Sr 0.2352 0.9364 0.2443
Sr 0.9360 0.5847 0.2443
Sr 0.4151 0.7649 0.7559
Tl 0.5000 0.5000 0.5000
Au 0.0000 0.0000 0.0000
CELL_PARAMETERS angstrom
7.7942 0.0080 0.0053
3.8868 6.7599 0.0132
3.8807 2.2465 7.3577
! - Excess energy over the best structure of this formula in the dataset: 22 meV per atom
! - Fermi-level density of states: 8.06 states/eV/cell
! - ΔE_f: -2.09 eV per formula unit
! - Final energy: -2.228 eV/atom
! - Total magnetization: 0.0 μB per formula unit